# Cs4AuCl (PBE-GGA, relaxed)
data_Cs4AuCl
_symmetry_space_group_name_H-M 'P 1'
_symmetry_Int_Tables_number 1
_symmetry_space_group_name_Hall 'P 1'
_cell_length_a 8.854
_cell_length_b 5.231
_cell_length_c 8.886
_cell_angle_alpha 90.00
_cell_angle_beta 95.14
_cell_angle_gamma 90.00
loop_
_atom_site_label
_atom_site_type_symbol
_atom_site_fract_x
_atom_site_fract_y
_atom_site_fract_z
Cs1 Cs 0.224 0.000 0.178
Cs2 Cs 0.231 0.500 0.693
Cs3 Cs 0.769 0.500 0.307
Cs4 Cs 0.776 0.000 0.822
Au1 Au 0.000 0.000 0.500
Cl1 Cl 0.000 0.500 0.000
# M_tot	0.0	μB per cell
# VASP energy	-13.0	eV/cell
# space-group type	P2/m (10)
# formation energy (no corrections)	-0.749	eV/atom


# Cs3Au2Cl (PBE-GGA, relaxed)
data_Cs3Au2Cl
_symmetry_space_group_name_H-M 'P 1'
_symmetry_Int_Tables_number 1
_symmetry_space_group_name_Hall 'P 1'
_cell_length_a 8.980
_cell_length_b 8.980
_cell_length_c 8.980
_cell_angle_alpha 146.87
_cell_angle_beta 132.10
_cell_angle_gamma 59.48
loop_
_atom_site_label
_atom_site_type_symbol
_atom_site_fract_x
_atom_site_fract_y
_atom_site_fract_z
Cs1 Cs 0.000 0.000 0.000
Cs2 Cs 0.343 0.343 0.000
Cs3 Cs 0.657 0.657 0.000
Au1 Au 0.168 0.668 0.500
Au2 Au 0.832 0.332 0.500
Cl1 Cl 0.500 0.000 0.500
# M_tot	0.0	μB per cell
# VASP energy	-16.1	eV/cell
# space-group type	Immm (71)
# formation energy (no corrections)	-0.864	eV/atom